# 1
A plane-wave DFT calculation with PBEsol was carried out for a geometry-optimized ScNb2SiF structure.

a = 4.119 Å, b = 4.119 Å, c = 4.926 Å
α = 90.00°, β = 90.00°, γ = 90.00°
Element x y z (fractional)
1 Sc 0.000 0.000 0.000
2 Nb 0.000 0.500 0.500
3 Nb 0.500 0.000 0.500
4 Si 0.500 0.500 0.000
5 F 0.500 0.500 0.500

Calculated values
Energy relative to the elements, uncorrected in eV/atom: -0.34


# 2
A plane-wave DFT calculation with PBEsol was carried out for a geometry-optimized HfNbMo2 structure.

a = 4.574 Å, b = 4.574 Å, c = 4.574 Å
α = 60.00°, β = 60.00°, γ = 60.00°
Element x y z (fractional)
1 Hf 0.000 0.000 0.000
2 Nb 0.500 0.500 0.500
3 Mo 0.250 0.250 0.250
4 Mo 0.750 0.750 0.750

Calculated values
Formation enthalpy at 0 K in meV/atom: -43


# 3
A plane-wave DFT calculation with PBEsol was carried out for a geometry-optimized LiBe2Ni structure.

a = 3.786 Å, b = 3.786 Å, c = 2.539 Å
α = 90.00°, β = 90.00°, γ = 90.00°
Element x y z (fractional)
1 Li 0.000 0.000 0.000
2 Be 0.000 0.500 0.500
3 Be 0.500 0.000 0.500
4 Ni 0.500 0.500 0.000

Calculated values
Formation enthalpy at 0 K in meV/atom: -96


# 4
A plane-wave DFT calculation with PBEsol was carried out for a geometry-optimized La2CdOs structure.

a = 3.429 Å, b = 3.429 Å, c = 8.603 Å
α = 90.00°, β = 90.00°, γ = 90.00°
Element x y z (fractional)
1 La 0.000 0.000 0.206
2 La 0.000 0.000 0.794
3 Cd 0.500 0.500 0.500
4 Os 0.500 0.500 0.000

Calculated values
Formation enthalpy at 0 K in meV/atom: -118


# 5
A plane-wave DFT calculation with PBEsol was carried out for a geometry-optimized YAgP2 structure.

a = 5.807 Å, b = 5.807 Å, c = 5.807 Å
α = 43.07°, β = 43.07°, γ = 43.07°
Element x y z (fractional)
1 Y 0.000 0.000 0.000
2 Ag 0.800 0.800 0.800
3 P 0.257 0.257 0.257
4 P 0.411 0.411 0.411

Calculated values
Formation enthalpy at 0 K in meV/atom: -525


# 6
A plane-wave DFT calculation with PBEsol was carried out for a geometry-optimized GaGe3Bi structure.

a = 5.412 Å, b = 5.412 Å, c = 5.412 Å
α = 90.00°, β = 90.00°, γ = 90.00°
Element x y z (fractional)
1 Ga 0.000 0.000 0.000
2 Ge 0.000 0.500 0.500
3 Ge 0.500 0.000 0.500
4 Ge 0.500 0.500 0.000
5 Bi 0.500 0.500 0.500

Calculated values
Formation enthalpy at 0 K in meV/atom: 1143


# 7
A plane-wave DFT calculation with PBEsol was carried out for a geometry-optimized Zr3PtCl structure.

a = 5.098 Å, b = 5.098 Å, c = 5.098 Å
α = 90.00°, β = 90.00°, γ = 90.00°
Element x y z (fractional)
1 Zr 0.000 0.000 0.500
2 Zr 0.000 0.500 0.000
3 Zr 0.500 0.000 0.000
4 Pt 0.000 0.000 0.000
5 Cl 0.500 0.500 0.500

Calculated values
Energy relative to the elements, uncorrected in eV/atom: 0.26


# 8
A plane-wave DFT calculation with PBEsol was carried out for a geometry-optimized ScOsPb structure.

a = 4.518 Å, b = 4.518 Å, c = 4.518 Å
α = 60.00°, β = 60.00°, γ = 60.00°
Element x y z (fractional)
1 Sc 0.000 0.000 0.000
2 Os 0.500 0.500 0.500
3 Pb 0.750 0.750 0.750

Calculated values
Formation enthalpy at 0 K in meV/atom: 650


# 9
A plane-wave DFT calculation with PBEsol was carried out for a geometry-optimized TlInTe2 structure.

a = 6.226 Å, b = 6.226 Å, c = 6.226 Å
α = 135.70°, β = 135.70°, γ = 64.45°
Element x y z (fractional)
1 Tl 0.000 0.000 0.000
2 In 0.500 0.500 0.000
3 Te 0.250 0.750 0.500
4 Te 0.750 0.250 0.500

Calculated values
Energy relative to the elements, uncorrected in eV/atom: -0.06


# 10
A plane-wave DFT calculation with PBEsol was carried out for a geometry-optimized Ti3IrPt structure.

a = 4.626 Å, b = 4.626 Å, c = 4.626 Å
α = 90.00°, β = 90.00°, γ = 90.00°
Element x y z (fractional)
1 Ti 0.000 0.000 0.500
2 Ti 0.000 0.500 0.000
3 Ti 0.500 0.000 0.000
4 Ir 0.500 0.500 0.500
5 Pt 0.000 0.000 0.000

Calculated values
Formation enthalpy at 0 K in meV/atom: 661


# 11
A plane-wave DFT calculation with PBEsol was carried out for a geometry-optimized RbZnCr2I structure.

a = 5.359 Å, b = 5.359 Å, c = 6.688 Å
α = 90.00°, β = 90.00°, γ = 90.00°
Element x y z (fractional)
1 Rb 0.000 0.000 0.000
2 Zn 0.500 0.500 0.000
3 Cr 0.000 0.500 0.500
4 Cr 0.500 0.000 0.500
5 I 0.000 0.000 0.500

Calculated values
Energy relative to the elements, uncorrected in eV/atom: 1.19


# 12
A plane-wave DFT calculation with PBEsol was carried out for a geometry-optimized HfTaTe2 structure.

a = 10.011 Å, b = 10.011 Å, c = 10.011 Å
α = 154.34°, β = 154.34°, γ = 36.60°
Element x y z (fractional)
1 Hf 0.000 0.000 0.000
2 Hf 0.750 0.250 0.500
3 Ta 0.250 0.750 0.500
4 Ta 0.500 0.500 0.000
5 Te 0.134 0.625 0.009
6 Te 0.375 0.384 0.509
7 Te 0.616 0.125 0.991
8 Te 0.875 0.866 0.491

Calculated values
Energy relative to the elements, uncorrected in eV/atom: 0.37


# 13
A plane-wave DFT calculation with PBEsol was carried out for a geometry-optimized Cd2HgAu structure.

a = 9.462 Å, b = 9.462 Å, c = 9.462 Å
α = 19.19°, β = 19.19°, γ = 19.19°
Element x y z (fractional)
1 Cd 0.246 0.246 0.246
2 Cd 0.754 0.754 0.754
3 Hg 0.000 0.000 0.000
4 Au 0.500 0.500 0.500

Calculated values
Formation enthalpy at 0 K in meV/atom: -33


# 14
A plane-wave DFT calculation with PBEsol was carried out for a geometry-optimized Fe2AgPb structure.

a = 3.361 Å, b = 3.361 Å, c = 5.753 Å
α = 90.00°, β = 90.00°, γ = 90.00°
Element x y z (fractional)
1 Fe 0.000 0.000 0.212
2 Fe 0.000 0.000 0.788
3 Ag 0.500 0.500 0.000
4 Pb 0.500 0.500 0.500

Calculated values
Formation enthalpy at 0 K in meV/atom: 583


# 15
A plane-wave DFT calculation with PBEsol was carried out for a geometry-optimized SrLaI4 structure.

a = 8.876 Å, b = 8.876 Å, c = 7.435 Å
α = 109.05°, β = 109.05°, γ = 110.76°
Element x y z (fractional)
1 Sr 0.134 0.866 0.750
2 Sr 0.866 0.134 0.250
3 La 0.500 0.500 0.250
4 La 0.500 0.500 0.750
5 I 0.133 0.258 0.766
6 I 0.203 0.558 0.413
7 I 0.258 0.133 0.266
8 I 0.442 0.797 0.087
9 I 0.558 0.203 0.913
10 I 0.742 0.867 0.734
11 I 0.797 0.442 0.587
12 I 0.867 0.742 0.234

Calculated values
Energy relative to the elements, uncorrected in eV/atom: -1.56


# 16
A plane-wave DFT calculation with PBEsol was carried out for a geometry-optimized RbSn2Pd2 structure.

a = 6.442 Å, b = 6.442 Å, c = 6.442 Å
α = 137.38°, β = 137.38°, γ = 61.85°
Element x y z (fractional)
1 Rb 0.000 0.000 0.000
2 Sn 0.250 0.750 0.500
3 Sn 0.750 0.250 0.500
4 Pd 0.372 0.372 0.000
5 Pd 0.628 0.628 0.000

Calculated values
Formation enthalpy at 0 K in meV/atom: -264


# 17
A plane-wave DFT calculation with PBEsol was carried out for a geometry-optimized BaCaRe structure.

a = 5.375 Å, b = 5.375 Å, c = 2.918 Å
α = 90.00°, β = 90.00°, γ = 120.00°
Element x y z (fractional)
1 Ba 0.000 0.000 0.000
2 Ca 0.333 0.667 0.994
3 Re 0.667 0.333 0.498

Calculated values
Formation enthalpy at 0 K in meV/atom: 1066


# 18
A plane-wave DFT calculation with PBEsol was carried out for a geometry-optimized RbNbCr3 structure.

a = 4.943 Å, b = 4.943 Å, c = 4.943 Å
α = 90.00°, β = 90.00°, γ = 90.00°
Element x y z (fractional)
1 Rb 0.000 0.000 0.000
2 Nb 0.500 0.500 0.500
3 Cr 0.000 0.500 0.500
4 Cr 0.500 0.000 0.500
5 Cr 0.500 0.500 0.000

Calculated values
Formation enthalpy at 0 K in meV/atom: 1700


# 19
A plane-wave DFT calculation with PBEsol was carried out for a geometry-optimized Li3Rh structure.

a = 4.639 Å, b = 4.639 Å, c = 4.875 Å
α = 96.69°, β = 96.69°, γ = 32.18°
Element x y z (fractional)
1 Li 0.000 0.000 0.000
2 Li 0.243 0.243 0.724
3 Li 0.757 0.757 0.276
4 Rh 0.500 0.500 0.500

Calculated values
Formation enthalpy at 0 K in meV/atom: -37


# 20
A plane-wave DFT calculation with PBEsol was carried out for a geometry-optimized KMg3GaSi3H2O12 structure.

a = 5.315 Å, b = 5.316 Å, c = 10.590 Å
α = 80.35°, β = 85.29°, γ = 60.01°
Element x y z (fractional)
1 K 0.000 0.000 0.000
2 Mg 0.333 0.826 0.521
3 Mg 0.664 0.160 0.522
4 Mg 0.999 0.499 0.521
5 Ga 0.333 0.405 0.784
6 Si 0.335 0.248 0.254
7 Si 0.666 0.738 0.788
8 Si 0.668 0.583 0.254
9 H 0.001 0.103 0.706
10 H 0.980 0.904 0.322
11 O 0.000 0.132 0.613
12 O 0.002 0.444 0.195
13 O 0.333 0.464 0.611
14 O 0.335 0.193 0.408
15 O 0.407 0.667 0.845
16 O 0.493 0.936 0.194
17 O 0.510 0.426 0.196
18 O 0.615 0.029 0.845
19 O 0.664 0.792 0.629
20 O 0.669 0.535 0.408
21 O 0.977 0.459 0.844
22 O 0.992 0.868 0.414


# 21
A plane-wave DFT calculation with PBEsol was carried out for a geometry-optimized Ni11As8 structure.

a = 6.804 Å, b = 6.804 Å, c = 11.025 Å
α = 98.82°, β = 98.82°, γ = 90.00°
Element x y z (fractional)
1 Ni 0.078 0.146 0.093
2 Ni 0.085 0.650 0.092
3 Ni 0.146 0.078 0.593
4 Ni 0.146 0.468 0.592
5 Ni 0.189 0.811 0.750
6 Ni 0.197 0.323 0.786
7 Ni 0.323 0.197 0.286
8 Ni 0.349 0.539 0.408
9 Ni 0.350 0.915 0.408
10 Ni 0.461 0.651 0.092
11 Ni 0.468 0.146 0.092
12 Ni 0.532 0.854 0.908
13 Ni 0.539 0.349 0.908
14 Ni 0.650 0.085 0.592
15 Ni 0.651 0.461 0.592
16 Ni 0.677 0.803 0.714
17 Ni 0.803 0.677 0.214
18 Ni 0.811 0.189 0.250
19 Ni 0.854 0.532 0.408
20 Ni 0.854 0.922 0.407
21 Ni 0.915 0.350 0.908
22 Ni 0.922 0.854 0.907
23 As 0.067 0.443 0.250
24 As 0.067 0.933 0.250
25 As 0.127 0.752 0.507
26 As 0.248 0.873 0.993
27 As 0.251 0.376 0.001
28 As 0.376 0.251 0.501
29 As 0.443 0.067 0.750
30 As 0.443 0.557 0.750
31 As 0.557 0.443 0.250
32 As 0.557 0.933 0.250
33 As 0.624 0.749 0.499
34 As 0.749 0.624 0.999
35 As 0.752 0.127 0.007
36 As 0.873 0.248 0.493
37 As 0.933 0.067 0.750
38 As 0.933 0.557 0.750

Calculated values
Formation enthalpy at 0 K in meV/atom: -352


# 22
A plane-wave DFT calculation with PBEsol was carried out for a geometry-optimized Cu2H3ClO3 structure.

a = 6.042 Å, b = 6.774 Å, c = 9.944 Å
α = 90.00°, β = 115.41°, γ = 90.00°
Element x y z (fractional)
1 Cu 0.000 0.000 0.000
2 Cu 0.000 0.500 0.500
3 Cu 0.006 0.235 0.251
4 Cu 0.006 0.265 0.751
5 Cu 0.500 0.000 0.000
6 Cu 0.500 0.500 0.500
7 Cu 0.994 0.735 0.249
8 Cu 0.994 0.765 0.749
9 H 0.271 0.708 0.028
10 H 0.271 0.792 0.528
11 H 0.301 0.181 0.518
12 H 0.301 0.319 0.018
13 H 0.325 0.517 0.767
14 H 0.325 0.983 0.267
15 H 0.675 0.017 0.733
16 H 0.675 0.483 0.233
17 H 0.699 0.681 0.982
18 H 0.699 0.819 0.482
19 H 0.729 0.208 0.472
20 H 0.729 0.292 0.972
21 Cl 0.317 0.507 0.180
22 Cl 0.317 0.993 0.680
23 Cl 0.683 0.007 0.320
24 Cl 0.683 0.493 0.820
25 O 0.141 0.518 0.720
26 O 0.141 0.982 0.220
27 O 0.222 0.676 0.457
28 O 0.222 0.824 0.957
29 O 0.265 0.210 0.943
30 O 0.265 0.290 0.443
31 O 0.735 0.710 0.557
32 O 0.735 0.790 0.057
33 O 0.778 0.176 0.043
34 O 0.778 0.324 0.543
35 O 0.859 0.018 0.780
36 O 0.859 0.482 0.280


# 23
A plane-wave DFT calculation with PBEsol was carried out for a geometry-optimized K3IrF6 structure.

a = 6.876 Å, b = 6.876 Å, c = 6.876 Å
α = 50.62°, β = 50.62°, γ = 50.62°
Element x y z (fractional)
1 K 0.000 0.000 0.000
2 K 0.216 0.216 0.216
3 K 0.784 0.784 0.784
4 Ir 0.500 0.500 0.500
5 F 0.244 0.726 0.726
6 F 0.274 0.274 0.756
7 F 0.274 0.756 0.274
8 F 0.726 0.244 0.726
9 F 0.726 0.726 0.244
10 F 0.756 0.274 0.274

Calculated values
Energy relative to the elements, uncorrected in eV/atom: -2.25


# 24
A plane-wave DFT calculation with PBEsol was carried out for a geometry-optimized AgPt2 structure.

a = 4.814 Å, b = 4.829 Å, c = 8.383 Å
α = 90.21°, β = 105.91°, γ = 99.46°
Element x y z (fractional)
1 Ag 0.000 0.000 0.000
2 Ag 0.001 0.006 0.668
3 Ag 0.499 0.745 0.081
4 Ag 0.502 0.250 0.918
5 Pt 0.002 0.504 0.498
6 Pt 0.005 0.494 0.172
7 Pt 0.007 0.999 0.333
8 Pt 0.489 0.743 0.742
9 Pt 0.502 0.750 0.417
10 Pt 0.504 0.253 0.583
11 Pt 0.511 0.248 0.257
12 Pt 0.994 0.507 0.831

Calculated values
Formation enthalpy at 0 K in meV/atom: 41


no.,raw total energy (hartree per atom)
1,-0.2766
2,-0.4137
3,-0.1517
4,-0.2258
5,-0.2188
6,-0.1229
7,-0.2570
8,-0.2556
9,-0.1184
10,-0.2826
11,-0.1389
12,-0.2631
13,-0.0645
14,-0.2104
15,-0.1447
16,-0.1674
17,-0.1766
18,-0.2504
19,-0.1303
20,-0.2519
21,-0.2230
22,-0.1769
23,-0.1739
24,-0.2097